The following is a GGA-PBE calculation of Li2TiTcO after structural relaxation, from the Alexandria database.

The value obtained for the total magnetization is 0.176 μB/atom. As for the crystal system: tetragonal. The uncorrected formation energy is 0.99 eV per atom. The energy is -22.1 eV/cell. The density of states at the Fermi level is 0.50 states/eV per atom.

It has space group P4/mmm (No. 123), with a = 4.693 Å, b = 4.693 Å, c = 4.430 Å, α = 90.00°, β = 90.00° and γ = 90.00°. The inequivalent atoms are Li at (0.000, 0.500, 0.000), Ti at (0.000, 0.000, 0.500), Tc at (0.000, 0.000, 0.000) and O at (0.500, 0.500, 0.500).

The following is a GGA-PBE calculation of LiTiTcO6 after structural relaxation, from the Alexandria database.

The value obtained for the total magnetization is 0.000 μB/atom. As for the crystal system: trigonal. The uncorrected formation energy is -1.88 eV per atom. The energy is -133.6 eV/cell.

It has space group P-31c (No. 163), with a = 5.0686 Å, b = 5.0686 Å, c = 9.3464 Å, α = 90.00°, β = 90.00° and γ = 120.00°. The inequivalent atoms are Li at (0.0000, 0.0000, 0.0000), Ti at (0.3333, 0.6667, 0.2500), Tc at (0.3333, 0.6667, 0.7500) and O at (0.0097, 0.3683, 0.6371).

The following is a GGA-PBE calculation of Li2TiTcO6 after structural relaxation, from the Alexandria database.

The value obtained for the total magnetization is 0.085 μB/atom. As for the crystal system: tetragonal. The uncorrected formation energy is -2.01 eV per atom. The energy is -71.9 eV/cell. The density of states at the Fermi level is 0.12 states/eV per atom.

It has space group P4mm (No. 99), with a = 5.293 Å, b = 5.293 Å, c = 4.712 Å, α = 90.00°, β = 90.00° and γ = 90.00°. The inequivalent atoms are Li at (0.000, 0.500, 0.000), Ti at (0.000, 0.000, 0.715), Tc at (0.500, 0.500, 0.704), O at (0.000, 0.000, 0.358), O at (0.257, 0.257, 0.832) and O at (0.500, 0.500, 0.344).

The following is a GGA-PBE calculation of LiTlTcO4 after structural relaxation, from the Alexandria database.

The value obtained for the total magnetization is 0.144 μB/atom. As for the crystal system: monoclinic. The uncorrected formation energy is -1.41 eV per atom. The energy is -88.7 eV/cell. The density of states at the Fermi level is 0.69 states/eV per atom.

It has space group P2_1/m (No. 11), with a = 5.458 Å, b = 5.842 Å, c = 8.347 Å, α = 90.00°, β = 102.82° and γ = 90.00°. The inequivalent atoms are Li at (0.128, 0.250, 0.476), Tl at (0.119, 0.250, 0.892), Tc at (0.388, 0.750, 0.731), O at (0.208, 0.506, 0.639), O at (0.295, 0.250, 0.290) and O at (0.383, 0.750, 0.944).

The following is a GGA-PBE calculation of LiTlTcO5 after structural relaxation, from the Alexandria database.

The value obtained for the total magnetization is 0.000 μB/atom. As for the crystal system: monoclinic. The uncorrected formation energy is -1.28 eV per atom. The energy is -198.6 eV/cell.

It has space group C2/c (No. 15), with a = 6.468 Å, b = 11.579 Å, c = 8.048 Å, α = 90.00°, β = 103.98° and γ = 90.00°. The inequivalent atoms are Li at (0.000, 0.242, 0.250), Tl at (0.000, 0.000, 0.000), Tc at (0.000, 0.296, 0.750), O at (0.000, 0.074, 0.250), O at (0.111, 0.381, 0.926) and O at (0.195, 0.207, 0.697).

The following is a GGA-PBE calculation of LiTl2TcO4 after structural relaxation, from the Alexandria database.

The value obtained for the total magnetization is 0.000 μB/atom. As for the crystal system: orthorhombic. The uncorrected formation energy is -1.11 eV per atom. The energy is -365.8 eV/cell. The density of states at the Fermi level is 0.22 states/eV per atom.

It has space group Fddd (No. 70, origin choice 2), with a = 5.303 Å, b = 11.741 Å, c = 20.043 Å, α = 90.00°, β = 90.00° and γ = 90.00°. The inequivalent atoms are Li at (0.125, 0.125, 0.125), Tl at (0.125, 0.125, 0.299), Tc at (0.125, 0.125, 0.625) and O at (0.106, 0.274, 0.842).

The following is a GGA-PBE calculation of Li2Tl2TcO6 after structural relaxation, from the Alexandria database.

The value obtained for the total magnetization is 0.000 μB/atom. As for the crystal system: trigonal. The uncorrected formation energy is -1.17 eV per atom. The energy is -184.6 eV/cell. The density of states at the Fermi level is 0.27 states/eV per atom.

It has space group R-3m (No. 166, hexagonal axes), with a = 5.8584 Å, b = 5.8584 Å, c = 15.4525 Å, α = 90.00°, β = 90.00° and γ = 120.00°. The inequivalent atoms are Li at (0.0000, 0.0000, 0.0907), Tl at (0.0000, 0.0000, 0.2900), Tc at (0.0000, 0.0000, 0.5000) and O at (0.0325, 0.5163, 0.2406).

The following is a GGA-PBE calculation of Li2TlTcO4 after structural relaxation, from the Alexandria database.

The value obtained for the total magnetization is 0.247 μB/atom. As for the crystal system: tetragonal. The uncorrected formation energy is -1.42 eV per atom. The energy is -95.4 eV/cell. The density of states at the Fermi level is 0.10 states/eV per atom.

It has space group I-42m (No. 121), with a = 5.477 Å, b = 5.477 Å, c = 7.749 Å, α = 90.00°, β = 90.00° and γ = 90.00°. The inequivalent atoms are Li at (0.000, 0.500, 0.250), Tl at (0.000, 0.000, 0.000), Tc at (0.000, 0.000, 0.500) and O at (0.188, 0.188, 0.351).